No. 1
KCaUCl6: relaxed, PBE.

```
18
Lattice="7.246 0.000 0.000 -3.623 6.276 0.000 0.000 0.000 13.520" Properties=species:S:1:pos:R:3 pbc="T T T"
K 0.000 0.000 0.000
K 0.000 0.000 6.760
Ca 0.000 4.184 3.380
Ca 3.623 2.092 10.140
U 0.000 4.184 10.140
U 3.623 2.092 3.380
Cl -1.325 2.303 1.853
Cl -2.291 3.977 4.907
Cl 1.325 2.303 4.907
Cl -0.966 6.271 1.853
Cl 2.657 0.004 8.613
Cl 1.332 2.299 11.667
Cl 2.291 3.977 1.853
Cl 0.966 6.271 4.907
Cl 4.590 0.004 11.667
Cl 2.298 3.973 8.613
Cl 5.914 2.299 8.613
Cl 4.948 3.973 11.667
```

Properties
E	-86.9	eV/cell
uncorrected formation energy	-2.00	eV per atom



No. 2
ReSiTcRu: relaxed, PBE.

```
4
Lattice="4.012 0.000 0.000 0.000 1.391 5.029 0.000 -1.391 5.029" Properties=species:S:1:pos:R:3 pbc="T T T"
Re 0.000 0.000 0.000
Si 2.006 0.000 6.159
Tc 2.006 0.000 3.687
Ru 0.000 0.000 7.405
```

Properties
E	-38.1	eV/cell
uncorrected formation energy	-0.14	eV per atom



No. 3
SiNiTe2: relaxed, PBE.

```
4
Lattice="3.262 0.000 0.000 0.000 4.886 0.000 0.000 0.000 5.037" Properties=species:S:1:pos:R:3 pbc="T T T"
Si 0.000 0.000 0.000
Ni 0.000 2.443 2.518
Te 1.631 0.000 2.518
Te 1.631 2.443 0.000
```

Properties
E	-15.6	eV/cell
uncorrected formation energy	0.48	eV per atom



Repeat the second record exactly.
ReSiTcRu: relaxed, PBE.

```
4
Lattice="4.012 0.000 0.000 0.000 1.391 5.029 0.000 -1.391 5.029" Properties=species:S:1:pos:R:3 pbc="T T T"
Re 0.000 0.000 0.000
Si 2.006 0.000 6.159
Tc 2.006 0.000 3.687
Ru 0.000 0.000 7.405
```

Properties
E	-38.1	eV/cell
uncorrected formation energy	-0.14	eV per atom



Question: Look up the uncorrected formation energy of the first one.
Answer: -2.00 eV per atom



Question: Look up the uncorrected formation energy of the first one.
Answer: -2.00 eV per atom